Computed, not measured: an optimized crystal structure of Ho2VFeO6 at the PBE with a Hubbard U level of DFT.

a = 5.2344 Å, b = 5.6640 Å, c = 9.1628 Å
α = 90.00°, β = 124.68°, γ = 90.00°
Fractional positions:
Ho1 0.2264 0.0738 0.2493
Ho2 0.2264 0.4262 0.7493
Ho3 0.7736 0.5738 0.2507
Ho4 0.7736 0.9262 0.7507
V1 0.5000 0.0000 0.0000
V2 0.5000 0.5000 0.5000
Fe1 0.0000 0.0000 0.5000
Fe2 0.0000 0.5000 0.0000
O1 0.1323 0.1943 0.9430
O2 0.1323 0.3057 0.4430
O3 0.2481 0.6884 0.9425
O4 0.2481 0.8116 0.4425
O5 0.3616 0.0410 0.7479
O6 0.3616 0.4590 0.2479
O7 0.6384 0.5410 0.7521
O8 0.6384 0.9590 0.2521
O9 0.7519 0.1884 0.5575
O10 0.7519 0.3116 0.0575
O11 0.8677 0.6943 0.5570
O12 0.8677 0.8057 0.0570

Calculated values
* calculated volume: 11.2 Å³ per atom
* space group: P2_1/c, No. 14
* energy: -0.570 Ry per atom